GdGa2PtAu, relaxed, DFT PBE; space-group type = P4/nmm; energy relative to the lowest polymorph listed for this composition = 0.000 eV/atom; total energy = -4.814 eV per atom
1.0
4.313 0.000 0.000
0.000 4.313 0.000
0.000 0.000 10.553
Gd Ga Pt Au
2 4 2 2
Direct
0.250 0.250 0.238 Gd
0.750 0.750 0.762 Gd
0.250 0.250 0.641 Ga
0.250 0.750 0.000 Ga
0.750 0.250 0.000 Ga
0.750 0.750 0.359 Ga
0.250 0.250 0.871 Pt
0.750 0.750 0.129 Pt
0.250 0.750 0.500 Au
0.750 0.250 0.500 Au